K2Hf3CdO8 PBE optimized geometry; energy relative to the elements, uncorrected = -2.737 eV per atom; SG = R3m, No. 160
1.0
-1.574 -0.307 6.330
4.700 -0.369 4.518
1.210 6.296 3.974
O Cd Hf K
8 1 3 2
Direct
0.747 0.747 0.194
0.224 0.224 0.866
0.713 0.713 0.862
0.747 0.311 0.194
0.687 0.224 0.866
0.224 0.687 0.866
0.272 0.272 0.185
0.311 0.747 0.194
0.960 0.960 0.121
0.494 0.994 0.019
0.994 0.494 0.019
0.494 0.494 0.019
0.135 0.135 0.595
0.492 0.492 0.523

***

Tl2Hg5Te PBE optimized geometry; energy relative to the elements, uncorrected = -0.075 eV per atom; SG = P1, No. 1
1.0
6.498 0.538 2.198
-1.175 4.781 2.439
-1.734 -0.853 7.073
Te Tl Hg
1 2 5
Direct
0.092 0.215 0.822
0.214 0.837 0.575
0.722 0.335 0.579
0.951 0.584 0.083
0.474 0.093 0.062
0.593 0.707 0.833
0.844 0.973 0.305
0.333 0.478 0.294

***

Dy6YEr2Sc3 PBE optimized geometry; SG = C2/m, No. 12; ΔE_f = 0.04 eV per atom
1.0
-5.161 0.614 3.048
1.524 -5.363 -2.285
6.554 -0.978 9.310
Dy Sc Y Er
6 3 1 2
Direct
0.420 0.086 0.259
0.580 0.914 0.741
0.752 0.752 0.259
0.086 0.420 0.259
0.248 0.248 0.741
0.914 0.580 0.741
0.167 0.833 0.500
0.500 0.500 0.500
0.833 0.167 0.500
0.000 0.000 0.000
0.667 0.333 0.000
0.333 0.667 0.000

***

AlZnGe PBE optimized geometry; SG = P3m1, No. 156; ΔE_f = 0.17 eV per atom
1.0
2.732 0.000 0.000
0.000 4.720 0.000
0.000 -2.360 4.087
Ge Al Zn
1 1 1
Direct
0.862 0.667 0.333
0.297 0.333 0.667
0.841 0.000 0.000

***

Y2Ti2Au PBE optimized geometry; SG = P4/mbm, No. 127; ΔE_f = 0.31 eV per atom
1.0
-7.455 -0.388 -1.357
1.408 -2.485 -7.029
-0.049 -4.100 1.440
Ti Y Au
4 4 2
Direct
0.370 0.130 0.500
0.630 0.870 0.500
0.130 0.630 0.500
0.870 0.370 0.500
0.658 0.158 0.000
0.842 0.658 0.000
0.158 0.342 0.000
0.342 0.842 0.000
0.000 0.000 0.000
0.500 0.500 0.000

***

HoAsO2 PBE optimized geometry; energy relative to the elements, uncorrected = -1.118 eV per atom; SG = R-3m, No. 166
1.0
3.477 0.000 0.000
1.739 3.011 0.000
1.739 1.004 6.421
Ho O As
1 2 1
Direct
0.000 0.000 0.000
0.887 0.887 0.339
0.113 0.113 0.661
0.500 0.500 0.500

***

Zr2InTcB PBE optimized geometry; SG = P4/mmm, No. 123; ΔE_f = 0.51 eV per atom
1.0
5.093 0.000 0.000
0.000 4.116 0.000
0.000 0.000 5.093
Zr B In Tc
2 1 1 1
Direct
0.000 0.000 0.500
0.500 0.000 0.000
0.000 0.500 0.000
0.500 0.500 0.500
0.000 0.000 0.000

***

Li6TbCd2 PBE optimized geometry; SG = P4/mmm, No. 123; ΔE_f = -0.09 eV per atom
1.0
4.128 0.000 0.000
0.000 4.128 0.000
0.000 0.000 11.291
Li Cd Tb
6 2 1
Direct
0.500 0.500 0.500
0.000 0.500 0.297
0.000 0.000 0.500
0.000 0.500 0.703
0.500 0.000 0.297
0.500 0.000 0.703
0.500 0.500 0.869
0.500 0.500 0.131
0.000 0.000 0.000

***

Ho4S3N2 PBE optimized geometry; energy relative to the elements, uncorrected = -1.963 eV per atom; SG = C2/m, No. 12
1.0
-2.669 2.643 0.630
-4.703 -2.911 3.798
2.223 3.350 6.876
Ho N S
4 2 3
Direct
0.437 0.272 0.854
0.563 0.728 0.146
0.760 0.128 0.352
0.240 0.872 0.648
0.644 0.074 0.638
0.356 0.926 0.362
0.827 0.563 0.783
0.173 0.437 0.217
0.000 0.000 0.000

***

TlPSe PBE optimized geometry; energy relative to the elements, uncorrected = 0.706 eV per atom; SG = F-43m, No. 216
1.0
0.000 3.397 3.397
3.397 0.000 3.397
3.397 3.397 0.000
Se P Tl
1 1 1
Direct
0.500 0.500 0.500
0.000 0.000 0.000
0.250 0.250 0.250

***

MnSb PBE optimized geometry; energy relative to the elements, uncorrected = 0.263 eV per atom; SG = P-1, No. 2
1.0
3.031 0.009 0.015
1.110 3.468 -0.004
1.235 -0.281 7.477
Sb Mn
2 2
Direct
0.512 0.205 0.294
0.488 0.795 0.706
0.712 0.221 0.937
0.288 0.779 0.063

***

La4ErMg5 PBE optimized geometry; SG = P4/mmm, No. 123; ΔE_f = -0.10 eV per atom
1.0
-2.176 2.154 -2.446
-1.254 -3.268 -1.762
-15.099 -0.983 12.564
La Mg Er
4 5 1
Direct
0.000 0.000 0.397
0.000 0.000 0.807
0.000 0.000 0.193
0.000 0.000 0.603
0.500 0.500 0.500
0.500 0.500 0.704
0.500 0.500 0.911
0.500 0.500 0.089
0.500 0.500 0.296
0.000 0.000 0.000

***

BaHgAu2 PBE optimized geometry; SG = P4/mmm, No. 123; ΔE_f = -0.39 eV per atom
1.0
5.073 0.025 0.012
-0.022 5.073 0.012
-0.008 -0.008 4.393
Hg Au Ba
1 2 1
Direct
0.000 0.500 0.500
0.000 0.000 0.000
0.500 0.500 0.000
0.500 0.000 0.500

***

Sm2Ho8Al PBE optimized geometry; SG = C2/m, No. 12; ΔE_f = 0.02 eV per atom
1.0
5.394 0.000 0.000
0.000 7.431 -0.229
-2.697 -3.439 8.668
Ho Sm Al
8 2 1
Direct
0.181 0.182 0.362
0.000 0.755 0.000
0.819 0.818 0.638
0.366 0.128 0.733
0.634 0.872 0.267
0.367 0.604 0.734
0.633 0.396 0.266
0.000 0.245 0.000
0.193 0.693 0.386
0.807 0.307 0.614
0.500 0.000 0.000

***

LuThNi PBE optimized geometry; SG = P3m1, No. 156; ΔE_f = -0.16 eV per atom
1.0
3.755 0.000 0.000
-1.878 3.252 0.000
0.000 0.000 6.280
Lu Ni Th
1 1 1
Direct
0.333 0.667 0.597
0.667 0.333 0.335
0.000 0.000 0.067

***

Ta2VW4 PBE optimized geometry; SG = Cmmm, No. 65; ΔE_f = 0.21 eV per atom
1.0
3.096 0.000 -0.409
0.000 3.119 0.000
0.045 0.000 12.282
V W Ta
1 4 2
Direct
0.500 0.000 0.000
0.372 0.000 0.743
0.063 0.500 0.127
0.628 0.000 0.257
0.937 0.500 0.873
0.200 0.500 0.401
0.800 0.500 0.599

***

MnAl4Pd2 PBE optimized geometry; SG = I4/mmm, No. 139; ΔE_f = -0.03 eV per atom
1.0
4.484 0.000 0.000
0.000 4.484 0.000
2.242 2.242 6.185
Al Pd Mn
4 2 1
Direct
0.000 0.500 0.000
0.500 0.000 0.000
0.189 0.189 0.621
0.811 0.811 0.379
0.613 0.613 0.773
0.387 0.387 0.227
0.000 0.000 0.000

***

Sm6Dy12Tm PBE optimized geometry; SG = R-3m, No. 166; ΔE_f = 0.46 eV per atom
1.0
9.061 -1.161 -2.021
-2.254 8.853 -2.021
-1.028 -1.161 9.227
Dy Sm Tm
12 6 1
Direct
0.920 0.685 0.685
0.500 0.111 0.889
0.685 0.685 0.920
0.685 0.920 0.685
0.315 0.080 0.315
0.315 0.315 0.080
0.889 0.500 0.111
0.080 0.315 0.315
0.500 0.889 0.111
0.111 0.889 0.500
0.889 0.111 0.500
0.111 0.500 0.889
0.676 0.294 0.676
0.676 0.676 0.294
0.706 0.324 0.324
0.294 0.676 0.676
0.324 0.324 0.706
0.324 0.706 0.324
0.000 0.000 0.000

***

TePd PBE optimized geometry; energy relative to the elements, uncorrected = -0.284 eV per atom; SG = Imm2, No. 44
1.0
-11.396 0.402 -4.321
0.520 -3.517 -1.699
-1.963 -2.671 4.928
Te Pd
6 6
Direct
0.000 0.000 0.734
0.317 0.000 0.689
0.500 0.500 0.234
0.817 0.500 0.189
0.683 0.000 0.689
0.183 0.500 0.189
0.330 0.000 0.235
0.170 0.500 0.735
0.000 0.500 0.418
0.670 0.000 0.235
0.500 0.000 0.918
0.830 0.500 0.735

***

Tm4Sb3O PBE optimized geometry; energy relative to the elements, uncorrected = -1.378 eV per atom; SG = Pmn2_1, No. 31
1.0
6.081 0.000 0.000
0.000 6.080 0.000
0.000 0.000 11.780
Tm O Sb
8 2 6
Direct
0.558 0.760 0.746
0.161 0.747 0.500
0.558 0.760 0.254
0.058 0.240 0.754
0.563 0.152 0.500
0.058 0.240 0.246
0.661 0.253 0.000
0.063 0.848 0.000
0.996 0.184 0.000
0.496 0.816 0.500
0.058 0.740 0.250
0.563 0.753 0.000
0.558 0.260 0.750
0.058 0.740 0.750
0.063 0.247 0.500
0.558 0.260 0.250

***

Number 1: total DFT energy (no corrections) -110.95 eV for the cell shown. Number 2: total DFT energy (no corrections) -9.99 eV for the cell shown. Number 3: total DFT energy (no corrections) -61.66 eV for the cell shown. Number 4: total DFT energy (no corrections) -9.12 eV for the cell shown. Number 5: total DFT energy (no corrections) -60.92 eV for the cell shown. Number 6: total DFT energy (no corrections) -23.62 eV for the cell shown. Number 7: total DFT energy (no corrections) -34.32 eV for the cell shown. Number 8: total DFT energy (no corrections) -18.77 eV for the cell shown. Number 9: total DFT energy (no corrections) -65.01 eV for the cell shown. Number 10: total DFT energy (no corrections) -9.14 eV for the cell shown. Number 11: total DFT energy (no corrections) -25.53 eV for the cell shown. Number 12: total DFT energy (no corrections) -33.27 eV for the cell shown. Number 13: total DFT energy (no corrections) -10.33 eV for the cell shown. Number 14: total DFT energy (no corrections) -49.59 eV for the cell shown. Number 15: total DFT energy (no corrections) -18.19 eV for the cell shown. Number 16: total DFT energy (no corrections) -83.17 eV for the cell shown. Number 17: total DFT energy (no corrections) -34.73 eV for the cell shown. Number 18: total DFT energy (no corrections) -79.28 eV for the cell shown. Number 19: total DFT energy (no corrections) -53.42 eV for the cell shown. Number 20: total DFT energy (no corrections) -92.47 eV for the cell shown.